Entry 1:
DFT (GGA-PBE) results for crystalline RbYTe3Pt at its relaxed geometry.

The value obtained for the total energy is -57.2 eV per cell.

Lattice parameters (Å, degrees): 9.301 9.301 10.434 90.00 90.00 153.30
Sites, in units of the cell vectors:
Pt: 0.496 0.504 0.250
Pt: 0.504 0.496 0.750
Rb: 0.751 0.249 0.250
Rb: 0.249 0.751 0.750
Te: 0.386 0.614 0.082
Te: 0.088 0.912 0.250
Te: 0.386 0.614 0.418
Te: 0.614 0.386 0.582
Te: 0.912 0.088 0.750
Te: 0.614 0.386 0.918
Y: 0.000 0.000 0.000
Y: 0.000 0.000 0.500

***

Entry 2:
DFT (GGA-PBE) results for crystalline HoTmGeC at its relaxed geometry.

The value obtained for the total energy is -49.9 eV per cell.

Lattice parameters (Å, degrees): 3.554 3.554 14.835 90.00 90.00 120.00
Sites, in units of the cell vectors:
C: 0.000 0.000 0.249
C: 0.000 0.000 0.751
Ge: 0.333 0.667 0.000
Ge: 0.667 0.333 0.500
Ho: 0.333 0.667 0.340
Ho: 0.333 0.667 0.660
Tm: 0.667 0.333 0.159
Tm: 0.667 0.333 0.841

***

Entry 3:
DFT (GGA-PBE) results for crystalline Na4GePbAu2 at its relaxed geometry.

The value obtained for the total energy is -21.8 eV per cell.

Lattice parameters (Å, degrees): 4.880 4.880 7.225 90.00 90.00 90.00
Sites, in units of the cell vectors:
Au: 0.500 0.000 0.227
Au: 0.000 0.500 0.773
Ge: 0.000 0.000 0.000
Na: 0.500 0.500 0.000
Na: 0.000 0.500 0.229
Na: 0.000 0.000 0.500
Na: 0.500 0.000 0.771
Pb: 0.500 0.500 0.500

***

Entry 4:
DFT (GGA-PBE) results for crystalline LiInAg2 at its relaxed geometry.

The value obtained for the total energy is -42.7 eV per cell.

Lattice parameters (Å, degrees): 4.679 8.325 8.088 90.00 90.00 90.00
Sites, in units of the cell vectors:
Ag: 0.500 0.584 0.167
Ag: 0.500 0.916 0.167
Ag: 0.000 0.084 0.333
Ag: 0.000 0.416 0.333
Ag: 0.000 0.584 0.667
Ag: 0.000 0.916 0.667
Ag: 0.500 0.084 0.833
Ag: 0.500 0.416 0.833
In: 0.501 0.250 0.166
In: 0.001 0.750 0.334
In: 0.999 0.250 0.666
In: 0.499 0.750 0.834
Li: 0.999 0.750 0.001
Li: 0.499 0.250 0.499
Li: 0.501 0.750 0.501
Li: 0.001 0.250 0.999

***

Entry 5:
DFT (GGA-PBE) results for crystalline BeAg2W at its relaxed geometry.

The value obtained for the total energy is -19.0 eV per cell.

Lattice parameters (Å, degrees): 4.396 4.396 4.396 60.00 60.00 60.00
Sites, in units of the cell vectors:
Ag: 0.000 0.000 0.000
Ag: 0.750 0.750 0.750
Be: 0.500 0.500 0.500
W: 0.250 0.250 0.250

***

Entry 6:
DFT (GGA-PBE) results for crystalline LaCo2Si2 at its relaxed geometry.

The value obtained for the total energy is -33.6 eV per cell.

Lattice parameters (Å, degrees): 3.969 3.969 5.792 110.04 110.04 90.00
Sites, in units of the cell vectors:
Co: 0.750 0.250 0.500
Co: 0.250 0.750 0.500
La: 0.000 0.000 0.000
Si: 0.637 0.637 0.274
Si: 0.363 0.363 0.726

***

Entry 7:
DFT (GGA-PBE) results for crystalline Zn2TeO at its relaxed geometry.

The value obtained for the total energy is -23.9 eV per cell. For the polymorph energy (0 for the lowest one), the calculation gives 384 meV per atom.

Lattice parameters (Å, degrees): 3.534 5.879 6.810 90.00 74.96 90.00
Sites, in units of the cell vectors:
O: 0.000 0.000 0.000
O: 0.000 0.500 0.000
Te: 0.760 0.750 0.480
Te: 0.240 0.250 0.520
Zn: 0.434 0.750 0.133
Zn: 0.894 0.250 0.212
Zn: 0.106 0.750 0.788
Zn: 0.566 0.250 0.867

***

Entry 8:
DFT (GGA-PBE) results for crystalline UOsPb at its relaxed geometry.

The value obtained for the total energy is -22.9 eV per cell. For the polymorph energy (0 for the lowest one), the calculation gives 739 meV per atom.

Lattice parameters (Å, degrees): 4.792 4.792 4.792 60.00 60.00 60.00
Sites, in units of the cell vectors:
Os: 0.250 0.250 0.250
Pb: 0.750 0.750 0.750
U: 0.000 0.000 0.000

***

Entry 9:
DFT (GGA-PBE) results for crystalline UAg at its relaxed geometry.

The value obtained for the total energy is -13.5 eV per cell. The energy relative to the elements is 0.295 eV/atom.

Lattice parameters (Å, degrees): 2.914 2.914 5.554 90.00 90.00 120.00
Sites, in units of the cell vectors:
Ag: 0.667 0.333 0.750
U: 0.333 0.667 0.250

***

Entry 10:
DFT (GGA-PBE) results for crystalline UNbGa at its relaxed geometry.

The value obtained for the total energy is -22.7 eV per cell. For the polymorph energy (0 for the lowest one), the calculation gives 0 meV per atom.

Lattice parameters (Å, degrees): 4.521 4.521 4.521 60.00 60.00 60.00
Sites, in units of the cell vectors:
Ga: 0.250 0.250 0.250
Nb: 0.000 0.000 0.000
U: 0.750 0.750 0.750